ZnCoO2: optimized geometry, PBE+U.

Results
Energy, eV/cell: -41.59
Space group: Fddd

Lattice parameters (Å, degrees): 10.1087 4.3332 4.3332 89.49 129.59 50.41
Element x y z (fractional)
Co1 0.2543 0.1188 0.1311
Co2 0.7543 0.3689 0.3812
O1 0.7510 0.3739 0.8761
O2 0.7577 0.8638 0.3862
O3 0.2577 0.1138 0.6362
O4 0.2510 0.6239 0.1261
Zn1 0.2543 0.6189 0.6311
Zn2 0.7543 0.8689 0.8811